(1)
TaTeW2: single point on PBEsol structure, SCAN.

Properties
Density of states at the Fermi level = 5.82 states/eV/cell
Formation energy without anion corrections = 0.515 eV/atom

Cell and atoms, written as CIF:
```
data_TaTeW2
_cell_length_a 9.7283
_cell_length_b 3.2401
_cell_length_c 4.6598
_cell_angle_alpha 90.00
_cell_angle_beta 107.99
_cell_angle_gamma 90.00
_space_group_name_H-M_alt 'C 1 m 1'
_space_group_IT_number 8
loop_
_space_group_symop_operation_xyz
'x,y,z'
'x,-y,z'
'x+1/2,y+1/2,z'
'x+1/2,-y+1/2,z'
loop_
_atom_site_label
_atom_site_type_symbol
_atom_site_fract_x
_atom_site_fract_y
_atom_site_fract_z
Ta1 Ta 0.0000 0.0000 0.0000
Te1 Te 0.2554 0.5000 0.2051
W1 W 0.0135 0.5000 0.5272
W2 W 0.2385 0.0000 0.6789
```


(2)
Ni2IrOs: single point on PBEsol structure, SCAN.

Properties
Density of states at the Fermi level = 3.96 states/eV/cell
ΔE to the lowest computed polymorph = 0.078 eV per atom
ΔH_f (0 K) = 92.4 meV/atom

Cell and atoms, written as CIF:
```
data_Ni2IrOs
_cell_length_a 2.6608
_cell_length_b 2.6608
_cell_length_c 6.9629
_cell_angle_alpha 90.00
_cell_angle_beta 90.00
_cell_angle_gamma 90.00
_space_group_name_H-M_alt 'P 4 m m'
_space_group_IT_number 99
loop_
_space_group_symop_operation_xyz
'x,y,z'
'-y,x,z'
'-x,-y,z'
'y,-x,z'
'-x,y,z'
'y,x,z'
'x,-y,z'
'-y,-x,z'
loop_
_atom_site_label
_atom_site_type_symbol
_atom_site_fract_x
_atom_site_fract_y
_atom_site_fract_z
Ni1 Ni 0.0000 0.0000 0.0000
Ni2 Ni 0.5000 0.5000 0.2287
Ir1 Ir 0.5000 0.5000 0.7449
Os1 Os 0.0000 0.0000 0.4763
```


(3)
MgZnAs2: single point on PBEsol structure, SCAN.

Properties
Density of states at the Fermi level = 1.21 states/eV/cell
ΔE to the lowest computed polymorph = 0.199 eV per atom
ΔH_f (0 K) = 78.1 meV/atom

Cell and atoms, written as CIF:
```
data_MgZnAs2
_cell_length_a 2.8484
_cell_length_b 2.8484
_cell_length_c 9.0598
_cell_angle_alpha 90.00
_cell_angle_beta 90.00
_cell_angle_gamma 90.00
_space_group_name_H-M_alt 'P 4 m m'
_space_group_IT_number 99
loop_
_space_group_symop_operation_xyz
'x,y,z'
'-y,x,z'
'-x,-y,z'
'y,-x,z'
'-x,y,z'
'y,x,z'
'x,-y,z'
'-y,-x,z'
loop_
_atom_site_label
_atom_site_type_symbol
_atom_site_fract_x
_atom_site_fract_y
_atom_site_fract_z
Mg1 Mg 0.0000 0.0000 0.0000
Zn1 Zn 0.5000 0.5000 0.7695
As1 As 0.0000 0.0000 0.5551
As2 As 0.5000 0.5000 0.2256
```


(4)
CuSnTeI2: single point on PBEsol structure, SCAN.

Properties
Density of states at the Fermi level = 2.33 states/eV/cell
Formation energy without anion corrections = 0.188 eV/atom

Cell and atoms, written as CIF:
```
data_CuSnTeI2
_cell_length_a 5.2116
_cell_length_b 5.2116
_cell_length_c 5.2762
_cell_angle_alpha 90.00
_cell_angle_beta 90.00
_cell_angle_gamma 90.00
_space_group_name_H-M_alt 'P 4/m m m'
_space_group_IT_number 123
_space_group_name_Hall '-P 4 2'
loop_
_atom_site_label
_atom_site_type_symbol
_atom_site_fract_x
_atom_site_fract_y
_atom_site_fract_z
Cu1 Cu 0.0000 0.0000 0.0000
Sn1 Sn 0.5000 0.5000 0.5000
Te1 Te 0.0000 0.0000 0.5000
I1 I 0.0000 0.5000 0.0000
```


(5)
LaYCd2: single point on PBEsol structure, SCAN.

Properties
Density of states at the Fermi level = 16.88 states/eV/cell
ΔE to the lowest computed polymorph = 0.010 eV per atom
ΔH_f (0 K) = -446.3 meV/atom

Cell and atoms, written as CIF:
```
data_LaYCd2
_cell_length_a 7.5573
_cell_length_b 7.5573
_cell_length_c 7.5573
_cell_angle_alpha 90.00
_cell_angle_beta 90.00
_cell_angle_gamma 90.00
_space_group_name_H-M_alt 'F m -3 m'
_space_group_IT_number 225
_space_group_name_Hall '-F 4 2 3'
loop_
_atom_site_label
_atom_site_type_symbol
_atom_site_fract_x
_atom_site_fract_y
_atom_site_fract_z
La1 La 0.0000 0.0000 0.0000
Y1 Y 0.0000 0.0000 0.5000
Cd1 Cd 0.2500 0.2500 0.2500
```


(6)
Mg4TlCd: single point on PBEsol structure, SCAN.

Properties
Density of states at the Fermi level = 10.08 states/eV/cell
ΔH_f (0 K) = 68.5 meV/atom

Cell and atoms, written as CIF:
```
data_Mg4TlCd
_cell_length_a 8.2537
_cell_length_b 8.2537
_cell_length_c 8.2537
_cell_angle_alpha 90.00
_cell_angle_beta 90.00
_cell_angle_gamma 90.00
_space_group_name_H-M_alt 'F -4 3 m'
_space_group_IT_number 216
_space_group_name_Hall 'F -4 2 3'
loop_
_atom_site_label
_atom_site_type_symbol
_atom_site_fract_x
_atom_site_fract_y
_atom_site_fract_z
Mg1 Mg 0.1247 0.1247 0.1247
Tl1 Tl 0.0000 0.0000 0.5000
Cd1 Cd 0.2500 0.2500 0.7500
```


(7)
CoRhCl: single point on PBEsol structure, SCAN.

Properties
Density of states at the Fermi level = 9.75 states/eV/cell
Formation energy without anion corrections = 0.642 eV/atom

Cell and atoms, written as CIF:
```
data_CoRhCl
_cell_length_a 5.6919
_cell_length_b 5.6919
_cell_length_c 5.6919
_cell_angle_alpha 90.00
_cell_angle_beta 90.00
_cell_angle_gamma 90.00
_space_group_name_H-M_alt 'F -4 3 m'
_space_group_IT_number 216
_space_group_name_Hall 'F -4 2 3'
loop_
_atom_site_label
_atom_site_type_symbol
_atom_site_fract_x
_atom_site_fract_y
_atom_site_fract_z
Co1 Co 0.0000 0.0000 0.0000
Rh1 Rh 0.2500 0.2500 0.7500
Cl1 Cl 0.2500 0.2500 0.2500
```


(8)
KAg2AsO4: single point on PBEsol structure, SCAN.

Properties
Formation energy without anion corrections = -1.146 eV/atom

Cell and atoms, written as CIF:
```
data_KAg2AsO4
_cell_length_a 5.8909
_cell_length_b 5.8909
_cell_length_c 6.9415
_cell_angle_alpha 90.00
_cell_angle_beta 90.00
_cell_angle_gamma 90.00
_space_group_name_H-M_alt 'I -4 2 m'
_space_group_IT_number 121
_space_group_name_Hall 'I -4 2'
loop_
_atom_site_label
_atom_site_type_symbol
_atom_site_fract_x
_atom_site_fract_y
_atom_site_fract_z
K1 K 0.0000 0.0000 0.0000
Ag1 Ag 0.0000 0.5000 0.2500
As1 As 0.0000 0.0000 0.5000
O1 O 0.1703 0.1703 0.3581
```


(9)
La3AlCoS7: single point on PBEsol structure, SCAN.

Properties
Density of states at the Fermi level = 2.09 states/eV/cell
Formation energy without anion corrections = -1.936 eV/atom

Cell and atoms, written as CIF:
```
data_La3AlCoS7
_cell_length_a 10.1582
_cell_length_b 10.1582
_cell_length_c 5.9844
_cell_angle_alpha 90.00
_cell_angle_beta 90.00
_cell_angle_gamma 120.00
_space_group_name_H-M_alt 'P 63'
_space_group_IT_number 173
loop_
_space_group_symop_operation_xyz
'x,y,z'
'x-y,x,z+1/2'
'-y,x-y,z'
'-x,-y,z+1/2'
'-x+y,-x,z'
'y,-x+y,z+1/2'
loop_
_atom_site_label
_atom_site_type_symbol
_atom_site_fract_x
_atom_site_fract_y
_atom_site_fract_z
La1 La 0.1401 0.3710 0.0000
Al1 Al 0.3333 0.6667 0.4207
Co1 Co 0.0000 0.0000 0.2844
S1 S 0.0841 0.2200 0.5420
S2 S 0.0995 0.5811 0.2770
S3 S 0.3333 0.6667 0.7903
```


(10)
BaSrCu2: single point on PBEsol structure, SCAN.

Properties
Density of states at the Fermi level = 11.84 states/eV/cell
ΔE to the lowest computed polymorph = 0.121 eV per atom
ΔH_f (0 K) = 116.5 meV/atom

Cell and atoms, written as CIF:
```
data_BaSrCu2
_cell_length_a 7.5505
_cell_length_b 7.5505
_cell_length_c 7.5505
_cell_angle_alpha 90.00
_cell_angle_beta 90.00
_cell_angle_gamma 90.00
_space_group_name_H-M_alt 'F m -3 m'
_space_group_IT_number 225
_space_group_name_Hall '-F 4 2 3'
loop_
_atom_site_label
_atom_site_type_symbol
_atom_site_fract_x
_atom_site_fract_y
_atom_site_fract_z
Ba1 Ba 0.0000 0.0000 0.0000
Sr1 Sr 0.0000 0.0000 0.5000
Cu1 Cu 0.2500 0.2500 0.2500
```


(11)
Sn2HOs: single point on PBEsol structure, SCAN.

Properties
Density of states at the Fermi level = 10.42 states/eV/cell
Energy = -1.3254 hartree per atom

Cell and atoms, written as CIF:
```
data_Sn2HOs
_cell_length_a 6.3593
_cell_length_b 6.3593
_cell_length_c 6.3593
_cell_angle_alpha 90.00
_cell_angle_beta 90.00
_cell_angle_gamma 90.00
_space_group_name_H-M_alt 'F m -3 m'
_space_group_IT_number 225
_space_group_name_Hall '-F 4 2 3'
loop_
_atom_site_label
_atom_site_type_symbol
_atom_site_fract_x
_atom_site_fract_y
_atom_site_fract_z
Sn1 Sn 0.2500 0.2500 0.2500
H1 H 0.0000 0.0000 0.0000
Os1 Os 0.0000 0.0000 0.5000
```


(12)
Al2HgPb: single point on PBEsol structure, SCAN.

Properties
Density of states at the Fermi level = 4.10 states/eV/cell
ΔH_f (0 K) = 162.4 meV/atom

Cell and atoms, written as CIF:
```
data_Al2HgPb
_cell_length_a 3.2680
_cell_length_b 3.2680
_cell_length_c 28.4225
_cell_angle_alpha 90.00
_cell_angle_beta 90.00
_cell_angle_gamma 120.00
_space_group_name_H-M_alt 'R 3 m'
_space_group_IT_number 160
_space_group_name_Hall 'R 3 -2"'
loop_
_atom_site_label
_atom_site_type_symbol
_atom_site_fract_x
_atom_site_fract_y
_atom_site_fract_z
Al1 Al 0.0000 0.0000 0.0000
Al2 Al 0.0000 0.0000 0.2614
Hg1 Hg 0.0000 0.0000 0.5201
Pb1 Pb 0.0000 0.0000 0.7569
```


Question: Number 6 is which compound?
Answer: Mg4TlCd


Question: Which formula does entry 12 have?
Answer: Al2HgPb